Material: CsAlNiO3
Method: DFT, GGA+U
State: relaxed

Lattice parameters (Å, degrees): 5.1639 5.2218 8.1716 108.63 90.00 90.00
Positions (direct):
Ni: 0.7500 0.5151 0.0303
Ni: 0.2500 0.4849 0.9697
Cs: 0.2500 0.7500 0.4999
Cs: 0.7500 0.2500 0.5001
O: 0.0000 0.7622 0.0000
O: 0.7500 0.8396 0.6792
O: 0.5000 0.2378 0.0000
O: 0.0000 0.2378 0.0000
O: 0.2500 0.1604 0.3208
O: 0.5000 0.7622 0.0000
Al: 0.7500 0.9491 0.8982
Al: 0.2500 0.0509 0.1018

Output
E_tot (eV/atom): -5.3932
Space group: No. 63